1.
Material: K2MnRe
Method: DFT, PBE
State: optimized geometry

As for the excess energy over the best structure of this formula in the dataset: 0.378 eV per formula unit. The value obtained for the energy of formation from the pure elements is 928 meV per atom. The calculation puts the volume at 246.3 Å³/cell.

The structure belongs to space group Cm (No. 8); the cell edges are 8.279, 2.939 and 10.137 Å and the angles 90.00°, 92.89° and 90.00°. The asymmetric unit holds K at (0.000, 0.000, 0.000), K at (0.229, 0.000, 0.571), Mn at (0.481, 0.000, 0.312) and Re at (0.256, 0.500, 0.260).

2.
Material: KMnRe4
Method: DFT, PBE
State: optimized geometry

The value obtained for the energy of formation from the pure elements is 1029 meV per atom. The calculation puts the volume at 429.1 Å³/cell.

The structure belongs to space group F-43m (No. 216); the cell edges are 7.543, 7.543 and 7.543 Å and the angles 90.00°, 90.00° and 90.00°. The asymmetric unit holds K at (0.000, 0.000, 0.000), Mn at (0.250, 0.250, 0.750) and Re at (0.125, 0.125, 0.375).